# 1
The following is a DFT calculation (PBE) of a geometry-optimized PaCuSbC structure.

```
PaCuSbC
1.0
-3.357 0.510 2.461
0.656 -3.786 1.680
4.772 3.403 5.805
Pa Cu Sb C
2 2 2 2
direct
0.500 0.000 0.627
0.000 0.500 0.373
0.500 0.500 0.000
0.000 0.000 0.000
0.000 0.500 0.809
0.500 0.000 0.191
0.000 0.000 0.500
0.500 0.500 0.500
```

As for the formation energy without anion corrections: -0.264 eV/atom. Its symmetry is No. 129.

# 2
The following is a DFT calculation (PBE) of a geometry-optimized CuPb3C structure.

```
CuPb3C
1.0
-4.911 -0.619 0.579
-0.107 -2.928 -4.032
0.841 -3.985 2.872
Pb C Cu
3 1 1
direct
0.000 0.500 0.000
0.000 0.000 0.500
0.500 0.000 0.000
0.000 0.000 0.000
0.500 0.500 0.500
```

The calculation puts the relative energy among the computed polymorphs at 0 meV per atom. Its symmetry is No. 221. The value obtained for the formation energy from the elements is 1.126 eV per atom.

# 3
The following is a DFT calculation (PBE) of a geometry-optimized Cu2PbC structure.

```
Cu2PbC
1.0
3.751 -1.253 1.892
0.066 -3.511 2.625
1.994 -3.679 -1.309
Pb C Cu
1 1 2
direct
0.500 0.500 0.500
0.000 0.000 0.000
0.250 0.250 0.250
0.750 0.750 0.750
```

The calculation puts the relative energy among the computed polymorphs at 706 meV per atom. Its symmetry is No. 225. The value obtained for the formation energy from the elements is 1.443 eV per atom.

# 4
The following is a DFT calculation (PBE) of a geometry-optimized Cu2PbC structure.

```
Cu2PbC
1.0
4.823 0.000 0.000
0.000 4.823 0.000
2.411 2.411 5.890
Pb C Cu
2 2 4
direct
0.000 0.000 0.000
0.750 0.250 0.500
0.500 0.500 0.000
0.250 0.750 0.500
0.432 0.125 0.250
0.318 0.625 0.250
0.375 0.568 0.750
0.875 0.682 0.750
```

The calculation puts the relative energy among the computed polymorphs at 0 meV per atom. Its symmetry is No. 122. The value obtained for the formation energy from the elements is 0.737 eV per atom.

# 5
The following is a DFT calculation (PBE) of a geometry-optimized CuPb3C structure.

```
CuPb3C
1.0
5.136 0.000 0.000
0.000 5.136 0.000
0.000 0.000 5.136
Pb C Cu
3 1 1
direct
0.000 0.500 0.000
0.000 0.000 0.500
0.500 0.000 0.000
0.500 0.500 0.500
0.000 0.000 0.000
```

The calculation puts the relative energy among the computed polymorphs at 393 meV per atom. Its symmetry is No. 221. The value obtained for the formation energy from the elements is 1.519 eV per atom.

# 6
The following is a DFT calculation (PBE) of a geometry-optimized CuRePb2C structure.

```
CuRePb2C
1.0
5.454 0.000 0.000
0.000 3.465 0.000
0.000 0.000 5.454
Pb Re C Cu
2 1 1 1
direct
0.000 0.000 0.500
0.500 0.000 0.000
0.500 0.500 0.500
0.000 0.500 0.000
0.000 0.000 0.000
```

Its symmetry is No. 123. The value obtained for the formation energy from the elements is 1.585 eV per atom.

# 7
The following is a DFT calculation (PBE) of a geometry-optimized CuRh2PbC structure.

```
CuRh2PbC
1.0
5.030 0.000 0.000
0.000 4.821 0.000
0.000 0.000 5.030
Pb C Rh Cu
1 1 2 1
direct
0.000 0.000 0.000
0.500 0.500 0.500
0.000 0.000 0.500
0.500 0.000 0.000
0.000 0.500 0.000
```

Its symmetry is No. 123. The value obtained for the formation energy from the elements is 2.614 eV per atom.

# 8
The following is a DFT calculation (PBE) of a geometry-optimized CuSiPb2C structure.

```
CuSiPb2C
1.0
5.573 0.000 0.000
0.000 3.479 0.000
0.000 0.000 5.573
Pb Si C Cu
2 1 1 1
direct
0.000 0.000 0.500
0.500 0.000 0.000
0.000 0.500 0.000
0.000 0.000 0.000
0.500 0.500 0.500
```

As for the formation energy without anion corrections: 0.835 eV/atom. Its symmetry is No. 123.